Below is a geometry-optimized YErSi2Pt5 structure, with properties calculated at the GGA-PBE level.

a b c (Å): 4.179 4.179 8.958
angles (deg): 90.00 90.00 90.00
Positions (direct):
Y: 0.000 0.000 0.000
Er: 0.000 0.000 0.500
Si: 0.500 0.500 0.370
Si: 0.500 0.500 0.630
Pt: 0.000 0.500 0.236
Pt: 0.000 0.500 0.764
Pt: 0.500 0.000 0.236
Pt: 0.500 0.000 0.764
Pt: 0.500 0.500 0.000

Results
Crystal system   tetragonal
Electronic total energy   -6.8848 eV/atom
Formation energy (no corrections)   -1099 meV per atom
Calculated volume   156 Å³ per cell